# Cr2CdPt

A relaxed Cr2CdPt crystal (GGA-PBE, Alexandria).

Geometry as POSCAR:
```
Cr2CdPt
1.0
-2.3146 -3.5151 -0.8322
0.3349 -0.8337 2.5900
-4.1768 1.7993 4.0169
Cd Cr Pt
1 2 1
direct
0.5000 0.7500 0.7500
0.0000 0.9255 0.0734
0.0000 0.5745 0.4266
0.5000 0.2500 0.2500
```

The raw total energy is -6.321 eV/atom. The volume is 64 Å³ per cell. As for the magnetic moment: 0.000 μB/atom.

---

# Pr4TmIn4

A relaxed Pr4TmIn4 crystal (GGA-PBE, Alexandria).

Geometry as POSCAR:
```
Pr4TmIn4
1.0
-5.3081 0.1042 -3.4545
1.7930 -8.5590 -3.0134
-4.7175 -3.5031 7.1431
Pr Tm In
8 2 8
direct
0.3681 0.4275 0.8272
0.8681 0.6728 0.9275
0.3681 0.5725 0.1728
0.1319 0.0725 0.6728
0.6319 0.8272 0.5725
0.1319 0.9275 0.3272
0.8681 0.3272 0.0725
0.6319 0.1728 0.4275
0.0000 0.0000 0.0000
0.5000 0.5000 0.5000
0.6209 0.9028 0.1972
0.6209 0.0972 0.8028
0.1209 0.6972 0.5972
0.8791 0.4028 0.6972
0.8791 0.5972 0.3028
0.3791 0.1972 0.0972
0.3791 0.8028 0.9028
0.1209 0.3028 0.4028
```

The raw total energy is -4.132 eV/atom. The volume is 542 Å³ per cell. As for the magnetic moment: 0.000 μB/atom.

---

# Ce2H6W

A relaxed Ce2H6W crystal (GGA-PBE, Alexandria).

Geometry as POSCAR:
```
Ce2H6W
1.0
5.2370 0.0000 0.0000
2.6185 4.5354 0.0000
2.6185 1.5118 4.2760
Ce H W
2 6 1
direct
0.2500 0.2500 0.2500
0.7500 0.7500 0.7500
0.2505 0.7495 0.7495
0.2505 0.7495 0.2505
0.7495 0.2505 0.7495
0.7495 0.2505 0.2505
0.7495 0.7495 0.2505
0.2505 0.2505 0.7495
0.0000 0.0000 0.0000
```

The raw total energy is -5.342 eV/atom. The volume is 102 Å³ per cell. As for the magnetic moment: 0.217 μB/atom.

---

# CoReSb2

A relaxed CoReSb2 crystal (GGA-PBE, Alexandria).

Geometry as POSCAR:
```
CoReSb2
1.0
-0.4021 -0.9498 -5.3522
3.9416 -2.7609 -2.5596
-3.0791 -0.4914 4.4707
Co Re Sb
1 1 2
direct
0.5000 0.5000 0.0000
0.7500 0.2500 0.5000
0.0000 0.0000 0.0000
0.2500 0.7500 0.5000
```

The raw total energy is -6.221 eV/atom. The volume is 71 Å³ per cell. As for the magnetic moment: 0.146 μB/atom. The energy relative to the lowest polymorph listed for this composition comes out at 180.3 kJ/mol of formula units.